A PBEsol-optimized structure of Zn2ReMo, computed with meta-GGA SCAN.

Unit cell a=4.7197 b=4.7197 c=4.7588 alpha=99.28 beta=99.28 gamma=33.42
With the nearest neighbours (Å) after each atom.
Sites, in units of the cell vectors:
Zn: 0.2482 0.2482 0.2470  6 Zn 2.71-2.76, 3 Re 2.72-2.73, 3 Mo 2.72-2.75
Zn: 0.7518 0.7518 0.7530  6 Zn 2.71-2.76, 3 Re 2.72-2.73, 3 Mo 2.72-2.75
Re: 0.5000 0.5000 0.0000  2 Re 2.71, 6 Zn 2.72-2.73, 4 Mo 2.74
Mo: 0.0000 0.0000 0.5000  2 Mo 2.71, 6 Zn 2.72-2.75, 4 Re 2.74

Properties
- SG: No. 12
- E_tot: -132.108 eV/cell
- Total magnetic moment: 0.0 Bohr magnetons per cell
- ΔE_f: 226.2 meV per atom